Record 1
DFT (PBE) results for an optimized crystal structure of NdThAsS.

Unit cell a=4.151 b=4.151 c=5.907 alpha=90.00 beta=90.00 gamma=90.00
Element x y z (fractional)
Nd1 0.000 0.000 0.000
Th1 0.500 0.500 0.500
As1 0.500 0.500 0.000
S1 0.000 0.000 0.500

Computed properties:
Its size of the total moment is 0.00 μB per formula unit. The density of states at the Fermi level comes out at 2.6 states/eV per cell. The formation energy (no corrections) is -1.674 eV/atom. Its calculated volume is 101.75 Å³/f.u.

Record 2
DFT (PBE) results for an optimized crystal structure of NdYAsS.

Unit cell a=7.092 b=7.092 c=7.092 alpha=33.68 beta=33.68 gamma=33.68
Element x y z (fractional)
Nd1 0.000 0.000 0.000
Y1 0.499 0.499 0.499
As1 0.246 0.246 0.246
S1 0.753 0.753 0.753

Computed properties:
Its size of the total moment is 0.00 μB per formula unit. The density of states at the Fermi level comes out at 1.7 states/eV per cell. The formation energy (no corrections) is -1.797 eV/atom. Its calculated volume is 97.73 Å³/f.u.